(1)
The following is a PBE calculation of NbTcGe2 after structural relaxation, from OQMD.

abc: 4.5335 4.5335 4.5335
angles: 60.00 60.00 60.00
Atoms (fractional coordinates):
Ge1 0.5000 0.5000 0.5000
Ge2 0.7500 0.7500 0.7500
Nb1 0.2500 0.2500 0.2500
Tc1 0.0000 0.0000 0.0000

## Properties
**Total magnetic moment**: 0.01 μB/cell
**E_tot**: -29.6 eV/cell
**Space-group type**: F-43m, No. 216

---

(2)
The following is a PBE calculation of NbTc2Ge after structural relaxation, from OQMD.

abc: 5.6809 7.9753 5.5585
angles: 90.00 90.00 90.00
Atoms (fractional coordinates):
Ge1 0.1442 0.7500 0.1021
Ge2 0.6442 0.2500 0.3979
Ge3 0.3558 0.7500 0.6021
Ge4 0.8558 0.2500 0.8979
Nb1 0.3215 0.2500 0.0071
Nb2 0.8215 0.7500 0.4929
Nb3 0.1785 0.2500 0.5071
Nb4 0.6785 0.7500 0.9929
Tc1 0.9030 0.0245 0.2277
Tc2 0.9030 0.4755 0.2277
Tc3 0.4030 0.5245 0.2723
Tc4 0.4030 0.9755 0.2723
Tc5 0.5970 0.0245 0.7277
Tc6 0.5970 0.4755 0.7277
Tc7 0.0970 0.5245 0.7723
Tc8 0.0970 0.9755 0.7723

## Properties
**Total magnetic moment**: 0.01 μB/cell
**E_tot**: -142.8 eV/cell
**Space-group type**: Pnma, No. 62